No. 1
10
Lattice="7.142 0.000 0.000 0.000 7.142 0.000 0.000 0.000 2.631" Properties=species:S:1:pos:R:3 comment="LiFe2Ir2 | the Alexandria database | PBE | relaxed" final_energy_ev_per_atom=-7.243 e_form_ev_per_atom=0.069 pbc="T T T"
Li 3.571 3.571 0.000
Li 0.000 0.000 0.000
Ir 4.835 5.877 1.315
Ir 5.877 2.306 1.315
Ir 1.264 4.835 1.315
Ir 2.306 1.264 1.315
Fe 4.405 0.834 0.000
Fe 2.737 6.308 0.000
Fe 0.834 2.737 0.000
Fe 6.308 4.405 0.000

***

No. 2
4
Lattice="4.509 0.042 0.044 3.716 2.555 0.044 0.620 0.196 4.712" Properties=species:S:1:pos:R:3 comment="Li2FeIr | the Alexandria database | PBE | relaxed" final_energy_ev_per_atom=-5.257 e_form_ev_per_atom=0.031 pbc="T T T"
Li 6.687 2.111 3.734
Li 8.792 2.776 4.698
Fe 4.422 1.396 2.172
Ir 2.211 0.698 1.397

***

No. 3
4
Lattice="-2.239 1.479 3.125 -0.786 4.036 0.241 -3.814 1.399 -0.681" Properties=species:S:1:pos:R:3 comment="Li2FeIr | the Alexandria database | PBE | relaxed" final_energy_ev_per_atom=-5.045 e_form_ev_per_atom=0.243 pbc="T T T"
Li -5.130 5.186 2.014
Li -1.710 1.729 0.671
Fe 0.000 0.000 0.000
Ir -3.420 3.457 1.343

***

No. 4
4
Lattice="-5.274 -7.498 0.649 -3.568 -8.073 2.558 -5.651 -6.563 3.071" Properties=species:S:1:pos:R:3 comment="Li2FeIr | the Alexandria database | PBE | relaxed" final_energy_ev_per_atom=-5.278 e_form_ev_per_atom=0.010 pbc="T T T"
Li -7.219 -11.025 3.127
Li -0.028 -0.043 0.012
Fe -3.623 -5.534 1.569
Ir -10.870 -16.601 4.708

***

No. 5
4
Lattice="2.592 0.000 0.000 0.000 4.005 0.000 0.000 0.000 5.283" Properties=species:S:1:pos:R:3 comment="Li2FeIr | the Alexandria database | PBE | relaxed" final_energy_ev_per_atom=-5.277 e_form_ev_per_atom=0.011 pbc="T T T"
Fe 0.000 0.000 2.865
Li 0.000 0.000 0.025
Li 1.296 2.003 1.239
Ir 1.296 2.003 3.795

***

No. 6
10
Lattice="-1.847 -4.757 -3.831 -2.666 -2.974 4.977 -2.319 1.283 -0.476" Properties=species:S:1:pos:R:3 comment="Li2Fe2Ir | the Alexandria database | PBE | relaxed" final_energy_ev_per_atom=-5.404 e_form_ev_per_atom=0.518 pbc="T T T"
Li -3.271 -6.045 -0.358
Li -1.242 -1.686 1.504
Li -1.428 -3.243 -1.788
Li -3.085 -4.488 2.933
Ir 0.000 0.000 0.000
Ir -2.256 -3.865 0.573
Fe -3.471 -4.116 -1.801
Fe -2.241 -1.394 -0.459
Fe -4.592 -5.054 1.129
Fe -3.361 -2.332 2.471

***

No. 7
4
Lattice="4.244 0.000 0.000 2.122 3.675 0.000 2.122 1.225 3.465" Properties=species:S:1:pos:R:3 comment="LiMnFeIr | the Alexandria database | PBE | relaxed" final_energy_ev_per_atom=-7.071 e_form_ev_per_atom=0.030 pbc="T T T"
Ir 6.365 3.675 2.599
Fe 4.244 2.450 1.732
Li 2.122 1.225 0.866
Mn 0.000 0.000 0.000

***

No. 8
5
Lattice="4.652 0.000 0.000 0.000 4.460 0.000 0.000 0.000 4.652" Properties=species:S:1:pos:R:3 comment="LiFeMoIr2 | the Alexandria database | PBE | relaxed" final_energy_ev_per_atom=-5.952 e_form_ev_per_atom=1.834 pbc="T T T"
Li 0.000 2.230 0.000
Ir 2.326 0.000 0.000
Ir 0.000 0.000 2.326
Mo 0.000 0.000 0.000
Fe 2.326 2.230 2.326

***

Table of total moment (μB/f.u.), in record order: 0.0, 2.3, 3.5, 2.4, 2.4, 0.2, 7.1, 0.0